The following is a meta-GGA SCAN calculation of a crystal of KTa2Mn relaxed with PBEsol, from the Alexandria database.

abc: 6.029 6.029 6.029
angles: 153.03 126.82 60.62
Sites, in units of the cell vectors:
K 0.000 0.000 0.000
Ta 0.301 0.801 0.500
Ta 0.699 0.199 0.500
Mn 0.500 0.500 0.000

Magnetization   1.73 μB/f.u.
Energy of formation   94.87 kJ per mole of atoms